# 1
Here is a relaxed NbGeF3 crystal from the Alexandria database. Energies are from PBE-GGA.

Output
- total energy (eV for the cell shown) = -24.35
- formation energy without anion corrections (meV/atom) = -810
- density of states at the Fermi level (states/eV/atom) = 1.689

Cell: 4.4004 4.4004 4.4004 Å, 90.00 90.00 90.00°
With the nearest neighbours (Å) after each atom.
Space group Pm-3m (No. 221)
One atom of each set of equivalent atoms:
Nb (0.0000, 0.0000, 0.0000) (multiplicity 1)  12 F 3.11
Ge (0.5000, 0.5000, 0.5000) (multiplicity 1)  6 F 2.20
F (0.0000, 0.5000, 0.5000) (multiplicity 3)  2 Ge 2.20

---

# 2
Here is a relaxed NaSm4Au7 crystal from the Alexandria database. Energies are from PBE-GGA.

Output
- total energy (eV for the cell shown) = -100.54
- energy of formation (eV/atom) = -0.594
- density of states at the Fermi level (states/eV/atom) = 0.685

Cell: 11.6358 5.4146 11.0628 Å, 90.00 121.43 90.00°
With the nearest neighbours (Å) after each atom.
Space group C2/m (No. 12)
One atom of each set of equivalent atoms:
Na (0.0000, 0.0000, 0.0000) (multiplicity 2)  2 Au 2.71
Sm (0.0910, 0.5000, 0.7841) (multiplicity 4)  8 Au 2.97-3.15
Sm (0.2335, 0.0000, 0.6458) (multiplicity 4)  5 Au 2.97-3.03
Au (0.0000, 0.5000, 0.0000) (multiplicity 2)  2 Na 2.71, 2 Au 2.92
Au (0.0697, 0.0000, 0.3265) (multiplicity 4)  2 Au 2.94-2.97, 3 Sm 3.01-3.15, 1 Na 3.26
Au (0.1320, 0.5000, 0.5258) (multiplicity 4)  2 Au 2.82-2.97, 5 Sm 2.97-3.13
Au (0.2143, 0.0000, 0.9050) (multiplicity 4)  4 Au 2.92-3.26, 4 Sm 2.97-3.03, 1 Na 3.17

---

# 3
Here is a relaxed MnNbIN2 crystal from the Alexandria database. Energies are from PBE-GGA.

Output
- total energy (eV for the cell shown) = -34.44
- formation energy without anion corrections (meV/atom) = 599
- density of states at the Fermi level (states/eV/atom) = 0.632

Cell: 4.0603 4.0603 5.8321 Å, 90.00 90.00 90.00°
With the nearest neighbours (Å) after each atom.
Space group P4/mmm (No. 123)
One atom of each set of equivalent atoms:
Mn (0.0000, 0.0000, 0.0000) (multiplicity 1)  4 I 2.87
Nb (0.5000, 0.5000, 0.5000) (multiplicity 1)  4 N 2.03
I (0.5000, 0.5000, 0.0000) (multiplicity 1)  4 Mn 2.87, 2 Nb 2.92
N (0.0000, 0.5000, 0.5000) (multiplicity 2)  2 Nb 2.03

---

# 4
Here is a relaxed DyHo4Er15 crystal from the Alexandria database. Energies are from PBE-GGA.

Output
- total energy (eV for the cell shown) = -90.92
- energy of formation (eV/atom) = 0.022
- density of states at the Fermi level (states/eV/atom) = 1.289

Cell: 4.9542 4.9542 24.7653 Å, 90.00 90.00 90.00°
With the nearest neighbours (Å) after each atom.
Space group P4/mmm (No. 123)
One atom of each set of equivalent atoms:
Dy (0.0000, 0.0000, 0.0000) (multiplicity 1)  12 Er 3.50-3.51
Ho (0.0000, 0.0000, 0.2002) (multiplicity 2)  12 Er 3.50
Ho (0.0000, 0.0000, 0.4000) (multiplicity 2)  12 Er 3.50
Er (0.0000, 0.5000, 0.1002) (multiplicity 4)  2 Ho 3.50, 8 Er 3.50-3.51, 2 Dy 3.51
Er (0.0000, 0.5000, 0.3001) (multiplicity 4)  8 Er 3.50, 4 Ho 3.50
Er (0.0000, 0.5000, 0.5000) (multiplicity 2)  4 Ho 3.50, 8 Er 3.50
Er (0.5000, 0.5000, 0.0000) (multiplicity 1)  4 Dy 3.50, 8 Er 3.51
Er (0.5000, 0.5000, 0.2002) (multiplicity 2)  8 Er 3.50, 4 Ho 3.50
Er (0.5000, 0.5000, 0.4000) (multiplicity 2)  8 Er 3.50, 4 Ho 3.50

---

# 5
Here is a relaxed Na2Sb2Te5 crystal from the Alexandria database. Energies are from PBE-GGA.

Output
- total energy (eV for the cell shown) = -115.70
- formation energy without anion corrections (meV/atom) = -259
- density of states at the Fermi level (states/eV/atom) = 0.441

Cell: 16.1200 8.3974 10.0660 Å, 90.00 90.00 90.00°
With the nearest neighbours (Å) after each atom.
Space group Ima2 (No. 46)
One atom of each set of equivalent atoms:
Na (0.1020, 0.0919, 0.0000) (multiplicity 8)  3 Te 3.04-3.28
Sb (0.0000, 0.0000, 0.5091) (multiplicity 4)  4 Te 2.78-2.87
Sb (0.2500, 0.6634, 0.0098) (multiplicity 4)  3 Te 2.77-3.03
Te (0.0561, 0.7407, 0.6553) (multiplicity 8)  1 Sb 2.78
Te (0.1416, 0.0534, 0.3429) (multiplicity 8)  2 Sb 2.87-3.03
Te (0.2500, 0.5584, 0.3621) (multiplicity 4)  1 Sb 2.77, 2 Na 3.04

---

# 6
Here is a relaxed CaDy2HoSe4 crystal from the Alexandria database. Energies are from PBE-GGA.

Output
- total energy (eV for the cell shown) = -44.12
- formation energy without anion corrections (meV/atom) = -1800
- density of states at the Fermi level (states/eV/atom) = 0.351

Cell: 7.0924 4.0766 7.0999 Å, 90.00 109.15 90.00°
With the nearest neighbours (Å) after each atom.
Space group P2/m (No. 10)
One atom of each set of equivalent atoms:
Ca (0.0000, 0.0000, 0.0000) (multiplicity 1)  6 Se 2.89-2.91
Dy (0.0000, 0.5000, 0.5000) (multiplicity 1)  6 Se 2.90
Dy (0.5000, 0.0000, 0.5000) (multiplicity 1)  6 Se 2.89
Ho (0.5000, 0.5000, 0.0000) (multiplicity 1)  6 Se 2.88-2.89
Se (0.2514, 0.0000, 0.7510) (multiplicity 2)  2 Ho 2.89, 3 Dy 2.89-2.90, 1 Ca 2.89
Se (0.2524, 0.5000, 0.2511) (multiplicity 2)  1 Ho 2.88, 3 Dy 2.89-2.90, 2 Ca 2.91

---

Look up the total energy of the fourth one. -90.92 eV for the cell shown